DFT (PBE) results for crystalline YCuPb2 at its relaxed geometry.

```
YCuPb2
1.0
-1.084 5.504 0.565
-0.587 -3.416 5.089
2.969 0.612 1.886
Cu Pb Y
1 2 1
Cartesian
-0.835 1.044 2.827 Cu
0.000 0.000 0.000 Pb
0.943 3.058 1.226 Pb
1.191 -1.402 3.488 Y
```

Calculated values
Its symmetry is C2/m, No. 12. The total energy is -4.481 eV per atom.

---

DFT (PBE) results for crystalline MgFe2GeS at its relaxed geometry.

```
MgFe2GeS
1.0
-4.067 -2.324 0.938
1.002 0.008 4.366
-2.267 4.174 0.512
S Ge Mg Fe
1 1 1 2
Cartesian
0.501 0.004 2.183 S
-2.666 0.929 2.908 Ge
0.000 0.000 0.000 Mg
-1.133 2.087 0.256 Fe
-2.034 -1.162 0.469 Fe
```

Calculated values
Its symmetry is P4/mmm, No. 123. The total energy is -4.260 eV per atom.

---

DFT (PBE) results for crystalline CuNi6Ru at its relaxed geometry.

```
CuNi6Ru
1.0
6.195 -0.011 0.000
-2.072 5.838 0.000
0.000 0.000 10.140
Cu Ni Ru
4 24 4
Cartesian
-0.007 4.376 7.605 Cu
4.129 1.450 7.605 Cu
2.061 2.913 5.090 Cu
2.061 2.913 10.120 Cu
-0.007 4.377 5.082 Ni
4.121 3.630 6.350 Ni
0.001 2.197 6.350 Ni
4.129 1.450 5.082 Ni
2.071 0.732 6.350 Ni
2.051 5.094 6.350 Ni
2.061 2.913 2.535 Ni
0.007 2.196 3.814 Ni
2.068 0.738 3.814 Ni
-0.007 4.377 10.128 Ni
4.115 3.631 1.256 Ni
0.007 2.196 1.256 Ni
4.129 1.450 10.128 Ni
2.068 0.738 1.256 Ni
2.054 5.089 1.256 Ni
2.061 2.913 7.605 Ni
0.001 2.197 8.861 Ni
2.071 0.732 8.861 Ni
0.000 0.000 2.535 Ni
2.054 5.089 3.814 Ni
4.115 3.631 3.814 Ni
0.000 0.000 7.605 Ni
2.051 5.094 8.861 Ni
4.121 3.630 8.861 Ni
-0.022 4.387 2.535 Ru
4.145 1.439 2.535 Ru
0.000 0.000 5.112 Ru
0.000 0.000 10.098 Ru
```

Calculated values
Its symmetry is Cmmm, No. 65. The total energy is -5.938 eV per atom.

---

DFT (PBE) results for crystalline TaMo2Cl at its relaxed geometry.

```
TaMo2Cl
1.0
-1.698 -2.071 4.732
3.230 -3.329 2.837
-0.808 4.905 -2.203
Cl Mo Ta
1 2 1
Cartesian
1.594 -0.562 2.209 Cl
0.042 -0.148 0.207 Mo
0.724 -2.552 3.577 Mo
-0.870 0.067 3.157 Ta
```

Calculated values
Its symmetry is Immm, No. 71. The total energy is -8.316 eV per atom.

---

DFT (PBE) results for crystalline Cs2HgSBr6 at its relaxed geometry.

```
Cs2HgSBr6
1.0
-4.394 6.696 -0.713
-6.721 -4.414 -0.031
-5.858 1.558 5.394
Cs S Hg Br
2 1 1 6
Cartesian
-7.905 4.698 2.154 Cs
-9.069 -0.857 2.496 Cs
-5.558 1.141 -0.372 S
0.000 0.000 0.000 Hg
-5.728 1.377 2.890 Br
-11.246 2.464 1.760 Br
-3.095 0.635 -0.207 Br
-8.021 1.647 -0.537 Br
-5.042 3.603 -0.523 Br
-6.074 -1.321 -0.221 Br
```

Calculated values
Its symmetry is I4/mmm, No. 139. The total energy is -2.455 eV per atom.

---

DFT (PBE) results for crystalline Sr2HoSn3Pt4 at its relaxed geometry.

```
Sr2HoSn3Pt4
1.0
4.671 0.000 0.000
0.000 4.671 0.000
0.000 0.000 11.154
Sr Ho Sn Pt
2 1 3 4
Cartesian
2.335 0.000 2.561 Sr
0.000 2.335 8.593 Sr
2.335 2.335 5.577 Ho
0.000 0.000 5.577 Sn
2.335 0.000 9.803 Sn
0.000 2.335 1.351 Sn
2.335 2.335 0.000 Pt
0.000 0.000 0.000 Pt
2.335 0.000 7.148 Pt
0.000 2.335 4.006 Pt
```

Calculated values
Its symmetry is P-4m2, No. 115. The total energy is -5.297 eV per atom.